1.
A plane-wave DFT calculation with PBE was carried out for PaCoSnAu after structural relaxation.

Summary:
Energy of formation = -0.739 eV per formula unit
Magnetization = 0.28 Bohr magnetons per cell
SG = F-43m
E_tot = -6.155 eV/atom

abc: 4.8222 4.8222 4.8222
angles: 60.00 60.00 60.00
Fractional coordinates of all 4 atoms:
Pa 0.0000 0.0000 0.0000
Co 0.2500 0.2500 0.2500
Sn 0.5000 0.5000 0.5000
Au 0.7500 0.7500 0.7500

***

2.
A plane-wave DFT calculation with PBE was carried out for Mn3Te4Se2 after structural relaxation.

Summary:
Magnetization = 2.59 Bohr magnetons per cell
SG = P-6m2
E_tot = -5.409 eV/atom

abc: 3.6514 3.6514 20.3404
angles: 90.00 90.00 120.00
Fractional coordinates of all 9 atoms:
Mn 0.0000 0.0000 0.0000
Mn 0.3333 0.6667 0.3149
Mn 0.3333 0.6667 0.6851
Te 0.0000 0.0000 0.2323
Te 0.0000 0.0000 0.3975
Te 0.0000 0.0000 0.6025
Te 0.0000 0.0000 0.7677
Se 0.3333 0.6667 0.0717
Se 0.3333 0.6667 0.9283

***

3.
A plane-wave DFT calculation with PBE was carried out for CaHg4Bi2 after structural relaxation.

Summary:
Energy of formation = -0.740 eV per formula unit
Magnetization = 0.00 Bohr magnetons per cell
SG = C2/m
E_tot = -1.673 eV/atom

abc: 5.2766 5.2766 9.6580
angles: 90.44 90.44 59.93
Fractional coordinates of all 7 atoms:
Ca 0.0000 0.0000 0.0000
Hg 0.3326 0.3326 0.8145
Hg 0.3341 0.3341 0.1520
Hg 0.6659 0.6659 0.8480
Hg 0.6674 0.6674 0.1855
Bi 0.3333 0.3333 0.4843
Bi 0.6667 0.6667 0.5157

***

4.
A plane-wave DFT calculation with PBE was carried out for KCoP after structural relaxation.

Summary:
Energy of formation = -0.833 eV per formula unit
Magnetization = 0.75 Bohr magnetons per cell
SG = P1
E_tot = -4.815 eV/atom

abc: 3.7262 3.7275 11.6280
angles: 81.64 81.46 60.03
Fractional coordinates of all 6 atoms:
K 0.0000 0.0000 0.0000
K 0.4683 0.4801 0.6292
Co 0.2579 0.2622 0.2389
Co 0.8827 0.8891 0.3720
P 0.1989 0.2065 0.4263
P 0.5998 0.6039 0.2113

***

5.
A plane-wave DFT calculation with PBE was carried out for GdMgScAg after structural relaxation.

Summary:
Energy of formation = -0.451 eV per formula unit
Magnetization = 7.66 Bohr magnetons per cell
SG = F-43m
E_tot = -6.327 eV/atom

abc: 5.1355 5.1355 5.1355
angles: 60.00 60.00 60.00
Fractional coordinates of all 4 atoms:
Gd 0.0000 0.0000 0.0000
Mg 0.7500 0.7500 0.7500
Sc 0.5000 0.5000 0.5000
Ag 0.2500 0.2500 0.2500

***

6.
A plane-wave DFT calculation with PBE was carried out for YNiSe2 after structural relaxation.

Summary:
Magnetization = 2.00 Bohr magnetons per cell
SG = I-42d
E_tot = -5.696 eV/atom

abc: 7.5115 7.5115 7.5115
angles: 135.21 135.21 65.21
Fractional coordinates of all 8 atoms:
Y 0.0000 0.0000 0.0000
Y 0.7500 0.2500 0.5000
Ni 0.2500 0.7500 0.5000
Ni 0.5000 0.5000 0.0000
Se 0.1782 0.6250 0.0532
Se 0.3750 0.4282 0.5532
Se 0.5718 0.1250 0.9468
Se 0.8750 0.8218 0.4468

***

7.
A plane-wave DFT calculation with PBE was carried out for Ba4CdAg after structural relaxation.

Summary:
Energy of formation = -0.635 eV per formula unit
Magnetization = 0.00 Bohr magnetons per cell
SG = C2
E_tot = -2.015 eV/atom

abc: 5.9077 5.9077 8.3281
angles: 90.05 90.05 90.00
Fractional coordinates of all 6 atoms:
Ba 0.2497 0.2497 0.7501
Ba 0.2507 0.2501 0.2503
Ba 0.7499 0.7493 0.7497
Ba 0.7503 0.7503 0.2499
Cd 0.7499 0.2501 0.0000
Ag 0.2504 0.7496 0.5000

***

8.
A plane-wave DFT calculation with PBE was carried out for Pm3TlHg3 after structural relaxation.

Summary:
Energy of formation = -2.151 eV per formula unit
Magnetization = 1.38 Bohr magnetons per cell
SG = C2/m
E_tot = -2.811 eV/atom

abc: 7.4132 7.4132 7.5455
angles: 90.00 90.00 91.03
Fractional coordinates of all 14 atoms:
Pm 0.9997 0.9997 0.2491
Pm 0.0003 0.0003 0.7509
Pm 0.0007 0.4996 0.7496
Pm 0.4996 0.0007 0.7496
Pm 0.5004 0.9993 0.2504
Pm 0.9993 0.5004 0.2504
Tl 0.3095 0.3095 0.4987
Tl 0.6905 0.6905 0.5013
Hg 0.2541 0.7459 0.5000
Hg 0.2650 0.7350 0.0000
Hg 0.2668 0.2668 0.0014
Hg 0.7332 0.7332 0.9986
Hg 0.7350 0.2650 0.0000
Hg 0.7459 0.2541 0.5000

***

9.
A plane-wave DFT calculation with PBE was carried out for Zr4SbPb after structural relaxation.

Summary:
Magnetization = 0.00 Bohr magnetons per cell
SG = F-43m
E_tot = -6.939 eV/atom

abc: 5.8765 5.8765 5.8765
angles: 60.00 60.00 60.00
Fractional coordinates of all 6 atoms:
Zr 0.1249 0.1249 0.1249
Zr 0.1249 0.1249 0.6254
Zr 0.1249 0.6254 0.1249
Zr 0.6254 0.1249 0.1249
Sb 0.5000 0.5000 0.5000
Pb 0.7500 0.7500 0.7500

***

10.
A plane-wave DFT calculation with PBE was carried out for Tm4SbTeAs2 after structural relaxation.

Summary:
Magnetization = 0.00 Bohr magnetons per cell
SG = P2/m
E_tot = -5.672 eV/atom

abc: 7.2250 4.1689 7.3118
angles: 90.00 109.10 90.00
Fractional coordinates of all 8 atoms:
Tm 0.2368 0.0000 0.2245
Tm 0.2534 0.5000 0.7716
Tm 0.7466 0.5000 0.2284
Tm 0.7632 0.0000 0.7755
Sb 0.0000 0.0000 0.5000
Te 0.5000 0.5000 0.5000
As 0.0000 0.5000 0.0000
As 0.5000 0.0000 0.0000

***

11.
A plane-wave DFT calculation with PBE was carried out for Sn4S5 after structural relaxation.

Summary:
Magnetization = 0.00 Bohr magnetons per cell
SG = P-1
E_tot = -4.356 eV/atom

abc: 3.8792 6.9415 10.0819
angles: 89.80 81.68 80.86
Fractional coordinates of all 9 atoms:
Sn 0.1824 0.0793 0.1368
Sn 0.2862 0.3495 0.6223
Sn 0.7138 0.6505 0.3777
Sn 0.8176 0.9207 0.8632
S 0.2611 0.7163 0.2074
S 0.4092 0.8178 0.7019
S 0.5000 0.0000 0.5000
S 0.5908 0.1822 0.2981
S 0.7389 0.2837 0.7926

***

12.
A plane-wave DFT calculation with PBE was carried out for PmSm2Sc3 after structural relaxation.

Summary:
Energy of formation = 0.300 eV per formula unit
Magnetization = 0.00 Bohr magnetons per cell
SG = P4/mmm
E_tot = -5.481 eV/atom

abc: 3.5565 3.5565 13.6911
angles: 90.00 90.00 90.00
Fractional coordinates of all 6 atoms:
Pm 0.0000 0.0000 0.0000
Sm 0.0000 0.0000 0.3335
Sm 0.0000 0.0000 0.6665
Sc 0.5000 0.5000 0.1672
Sc 0.5000 0.5000 0.5000
Sc 0.5000 0.5000 0.8328

***

13.
A plane-wave DFT calculation with PBE was carried out for Tb4HoAu5 after structural relaxation.

Summary:
Energy of formation = -8.572 eV per formula unit
Magnetization = 0.00 Bohr magnetons per cell
SG = P4/mmm
E_tot = -4.806 eV/atom

abc: 3.5805 3.5805 18.3160
angles: 90.00 90.00 90.00
Fractional coordinates of all 10 atoms:
Tb 0.0000 0.0000 0.1002
Tb 0.0000 0.0000 0.3009
Tb 0.0000 0.0000 0.6991
Tb 0.0000 0.0000 0.8998
Ho 0.0000 0.0000 0.5000
Au 0.5000 0.5000 0.0000
Au 0.5000 0.5000 0.2006
Au 0.5000 0.5000 0.4022
Au 0.5000 0.5000 0.5978
Au 0.5000 0.5000 0.7994

***

14.
A plane-wave DFT calculation with PBE was carried out for NdPu2Ge after structural relaxation.

Summary:
Energy of formation = -1.023 eV per formula unit
Magnetization = 11.97 Bohr magnetons per cell
SG = P4/mmm
E_tot = -9.768 eV/atom

abc: 4.4745 4.4745 5.0068
angles: 90.00 90.00 90.00
Fractional coordinates of all 4 atoms:
Nd 0.0000 0.0000 0.0000
Pu 0.0000 0.5000 0.5000
Pu 0.5000 0.0000 0.5000
Ge 0.5000 0.5000 0.0000

***

15.
A plane-wave DFT calculation with PBE was carried out for Ga4Pt2Rh after structural relaxation.

Summary:
Energy of formation = -3.500 eV per formula unit
Magnetization = 0.00 Bohr magnetons per cell
SG = C2/m
E_tot = -5.006 eV/atom

abc: 6.5378 6.5378 6.2428
angles: 113.80 113.80 31.17
Fractional coordinates of all 7 atoms:
Ga 0.0863 0.0863 0.3097
Ga 0.3544 0.3544 0.1749
Ga 0.6456 0.6456 0.8251
Ga 0.9137 0.9137 0.6903
Pt 0.2532 0.2532 0.7057
Pt 0.7468 0.7468 0.2943
Rh 0.5000 0.5000 0.0000

***

16.
A plane-wave DFT calculation with PBE was carried out for Mn3Cu5H12 after structural relaxation.

Summary:
Magnetization = 22.39 Bohr magnetons per cell
SG = Ia-3d
E_tot = -4.210 eV/atom

abc: 8.8947 8.8947 8.8947
angles: 109.47 109.47 109.47
Fractional coordinates of all 80 atoms:
Mn 0.1250 0.2500 0.3750
Mn 0.1250 0.3750 0.7500
Mn 0.2500 0.3750 0.1250
Mn 0.2500 0.8750 0.6250
Mn 0.3750 0.1250 0.2500
Mn 0.3750 0.7500 0.1250
Mn 0.6250 0.2500 0.8750
Mn 0.6250 0.8750 0.7500
Mn 0.7500 0.1250 0.3750
Mn 0.7500 0.6250 0.8750
Mn 0.8750 0.6250 0.2500
Mn 0.8750 0.7500 0.6250
Cu 0.0000 0.0000 0.0000
Cu 0.0000 0.0000 0.5000
Cu 0.0000 0.5000 0.0000
Cu 0.0000 0.5000 0.5000
Cu 0.1250 0.7500 0.8750
Cu 0.1250 0.8750 0.2500
Cu 0.2500 0.1250 0.8750
Cu 0.2500 0.6250 0.3750
Cu 0.3750 0.2500 0.6250
Cu 0.3750 0.6250 0.7500
Cu 0.5000 0.0000 0.0000
Cu 0.5000 0.0000 0.5000
Cu 0.5000 0.5000 0.0000
Cu 0.5000 0.5000 0.5000
Cu 0.6250 0.3750 0.2500
Cu 0.6250 0.7500 0.3750
Cu 0.7500 0.3750 0.6250
Cu 0.7500 0.8750 0.1250
Cu 0.8750 0.1250 0.7500
Cu 0.8750 0.2500 0.1250
H 0.0629 0.2314 0.1477
H 0.0629 0.3314 0.9151
H 0.0837 0.7314 0.6686
H 0.0837 0.8523 0.4151
H 0.0849 0.6477 0.4163
H 0.0849 0.9371 0.6686
H 0.1477 0.0629 0.2314
H 0.1477 0.5849 0.9163
H 0.1686 0.2314 0.5837
H 0.1686 0.4371 0.5849
H 0.2314 0.1477 0.0629
H 0.2314 0.5837 0.1686
H 0.2686 0.3314 0.9163
H 0.2686 0.4371 0.3523
H 0.3314 0.9151 0.0629
H 0.3314 0.9163 0.2686
H 0.3523 0.2686 0.4371
H 0.3523 0.5837 0.9151
H 0.4151 0.0837 0.8523
H 0.4151 0.8314 0.5629
H 0.4163 0.0849 0.6477
H 0.4163 0.8314 0.7686
H 0.4371 0.3523 0.2686
H 0.4371 0.5849 0.1686
H 0.5629 0.4151 0.8314
H 0.5629 0.6477 0.7314
H 0.5837 0.1686 0.2314
H 0.5837 0.9151 0.3523
H 0.5849 0.1686 0.4371
H 0.5849 0.9163 0.1477
H 0.6477 0.4163 0.0849
H 0.6477 0.7314 0.5629
H 0.6686 0.0837 0.7314
H 0.6686 0.0849 0.9371
H 0.7314 0.5629 0.6477
H 0.7314 0.6686 0.0837
H 0.7686 0.4163 0.8314
H 0.7686 0.8523 0.9371
H 0.8314 0.5629 0.4151
H 0.8314 0.7686 0.4163
H 0.8523 0.4151 0.0837
H 0.8523 0.9371 0.7686
H 0.9151 0.0629 0.3314
H 0.9151 0.3523 0.5837
H 0.9163 0.1477 0.5849
H 0.9163 0.2686 0.3314
H 0.9371 0.6686 0.0849
H 0.9371 0.7686 0.8523

***

17.
A plane-wave DFT calculation with PBE was carried out for VPd7Pt3 after structural relaxation.

Summary:
Energy of formation = -0.641 eV per formula unit
Magnetization = 0.39 Bohr magnetons per cell
SG = P3m1
E_tot = -5.839 eV/atom

abc: 5.5127 5.5127 6.7023
angles: 90.00 90.00 120.00
Fractional coordinates of all 11 atoms:
V 0.0000 0.0000 0.0000
Pd 0.3318 0.1659 0.3432
Pd 0.3333 0.6667 0.3489
Pd 0.5020 0.0040 0.0082
Pd 0.5020 0.4980 0.0082
Pd 0.8341 0.1659 0.3432
Pd 0.8341 0.6682 0.3432
Pd 0.9960 0.4980 0.0082
Pt 0.1648 0.3296 0.6843
Pt 0.1648 0.8352 0.6843
Pt 0.6704 0.8352 0.6843

***

18.
A plane-wave DFT calculation with PBE was carried out for LaNiMo2 after structural relaxation.

Summary:
Energy of formation = 1.859 eV per formula unit
Magnetization = 0.00 Bohr magnetons per cell
SG = P4/mmm
E_tot = -7.628 eV/atom

abc: 2.8056 2.8056 8.9610
angles: 90.00 90.00 90.00
Fractional coordinates of all 4 atoms:
La 0.0000 0.0000 0.0000
Ni 0.0000 0.0000 0.5000
Mo 0.5000 0.5000 0.3046
Mo 0.5000 0.5000 0.6954

***

19.
A plane-wave DFT calculation with PBE was carried out for KNa6Cd2 after structural relaxation.

Summary:
Energy of formation = -0.083 eV per formula unit
Magnetization = 0.00 Bohr magnetons per cell
SG = Immm
E_tot = -1.214 eV/atom

abc: 9.5675 9.5675 9.5675
angles: 120.32 110.05 98.76
Fractional coordinates of all 18 atoms:
K 0.0000 0.0000 0.0000
K 0.5000 0.5000 0.0000
Na 0.0044 0.2411 0.7633
Na 0.2055 0.2950 0.5005
Na 0.2055 0.7050 0.9105
Na 0.3099 0.0154 0.7055
Na 0.3099 0.6045 0.2945
Na 0.4778 0.2411 0.2367
Na 0.5222 0.7589 0.7633
Na 0.6901 0.3955 0.7055
Na 0.6901 0.9846 0.2945
Na 0.7945 0.2950 0.0895
Na 0.7945 0.7050 0.4995
Na 0.9956 0.7589 0.2367
Cd 0.1151 0.6151 0.5000
Cd 0.3655 0.0000 0.3655
Cd 0.6345 0.0000 0.6345
Cd 0.8849 0.3849 0.5000

***

20.
A plane-wave DFT calculation with PBE was carried out for ScMn2Fe after structural relaxation.

Summary:
Energy of formation = 0.702 eV per formula unit
Magnetization = 4.80 Bohr magnetons per cell
SG = P4/mmm
E_tot = -8.108 eV/atom

abc: 2.8749 2.8749 6.6609
angles: 90.00 90.00 90.00
Fractional coordinates of all 4 atoms:
Sc 0.0000 0.0000 0.0000
Mn 0.5000 0.5000 0.2971
Mn 0.5000 0.5000 0.7029
Fe 0.0000 0.0000 0.5000